SrInO2 (PBE-GGA, relaxed); formation energy (no corrections) = -1809 meV per atom; E_tot = -0.198 Ha/atom; total magnetization = 0.0 μB per formula unit
1.0
5.4367 0.0000 0.0000
0.0000 5.4367 0.0000
2.7184 2.7184 5.4379
Sr O In
2 4 2
direct
0.5000 0.5000 0.0000
0.2500 0.7500 0.5000
0.6564 0.1250 0.2500
0.0936 0.6250 0.2500
0.3750 0.3436 0.7500
0.8750 0.9064 0.7500
0.0000 0.0000 0.0000
0.7500 0.2500 0.5000